## TlOs (PBE)

Data for a geometry-optimized TlOs structure.

Summary:
Formation energy ... 1.095 eV per atom

a b c (Å): 10.3098 10.3098 4.0504
angles (deg): 90.00 90.00 90.00
Fractional positions:
Tl: 0.0062 0.7525 0.0000
Tl: 0.2475 0.0062 0.0000
Tl: 0.2525 0.4938 0.5000
Tl: 0.4938 0.7475 0.5000
Tl: 0.5062 0.2525 0.5000
Tl: 0.7475 0.5062 0.5000
Tl: 0.7525 0.9938 0.0000
Tl: 0.9938 0.2475 0.0000
Os: 0.1969 0.2241 0.5000
Os: 0.2241 0.8031 0.5000
Os: 0.2759 0.6969 0.0000
Os: 0.3031 0.2759 0.0000
Os: 0.6969 0.7241 0.0000
Os: 0.7241 0.3031 0.0000
Os: 0.7759 0.1969 0.5000
Os: 0.8031 0.7759 0.5000